5
Lattice="4.3518 0.0000 0.0000 0.0000 4.3518 0.0000 0.0000 0.0000 3.5858" Properties=species:S:1:pos:R:3 comment="Li2FeBiN | Alexandria via LeMat-Bulk | PBE | optimized geometry" n_ef_per_ev_atom=0.497 space_group="P4/mmm (123)" formation_energy_uncorrected_mev_per_atom=-219 rho_g_cm3=7.2 pbc="T T T"
N 0.0000 0.0000 0.0000
Li 0.0000 2.1759 0.0000
Li 2.1759 0.0000 0.0000
Bi 2.1759 2.1759 1.7929
Fe 0.0000 0.0000 1.7929


5
Lattice="-2.3494 1.8566 3.3400 -3.5878 -3.2283 -0.7291 1.9317 -2.8059 2.9185" Properties=species:S:1:pos:R:3 comment="LiFeNi2Bi | Alexandria via LeMat-Bulk | PBE | optimized geometry" formation_energy_ev_per_atom=0.637 n_ef_per_ev_atom=0.884 space_group="P4/mmm (123)" rho_g_cm3=6.6 pbc="T T T"
Ni 0.9659 -1.4030 1.4592
Ni -1.1747 0.9283 1.6700
Li -2.0027 -2.0888 2.7647
Bi -1.7939 -1.6142 -0.3645
Fe 0.0000 0.0000 0.0000